Density functional theory data (GGA+U) for an optimized crystal structure of PmCoGe2O6.

The structure in CIF format:
```
data_PmCoGe2O6
_cell_length_a 10.6488
_cell_length_b 8.9257
_cell_length_c 5.4985
_cell_angle_alpha 90.00
_cell_angle_beta 104.53
_cell_angle_gamma 90.00
_symmetry_space_group_name_H-M 'C 1 2/c 1'
_symmetry_Int_Tables_number 15
loop_
_symmetry_equiv_pos_as_xyz
'x,y,z'
'-x,-y,-z'
'-x,y,-z+1/2'
'x,-y,z+1/2'
'x+1/2,y+1/2,z'
'-x+1/2,-y+1/2,-z'
'-x+1/2,y+1/2,-z+1/2'
'x+1/2,-y+1/2,z+1/2'
loop_
_atom_site_label
_atom_site_fract_x
_atom_site_fract_y
_atom_site_fract_z
_atom_site_occupancy
Pm1 0.0000 0.1793 0.2500 1
Co1 0.0000 0.4164 0.7500 1
Ge1 0.2201 0.1214 0.8237 1
O1 0.1084 0.4022 0.1388 1
O2 0.1202 0.2629 0.6400 1
O3 0.1450 0.0237 0.0544 1
```

Summary:
magnetization: 8.6 Bohr magnetons per cell
crystal system: monoclinic
E_tot: -67.28 eV per formula unit